[1]
Here is crystalline TaTe2Br at its relaxed geometry from the Alexandria database. Energies are from PBE-GGA.

```
TaTe2Br
1.0
4.077 0.000 0.000
0.000 8.902 0.000
-0.042 0.000 8.633
Ta Te Br
2 4 2
Cartesian
1.019 0.000 0.292
3.015 4.451 8.340
0.977 6.185 7.733
1.018 7.764 2.579
3.016 3.314 6.054
3.057 1.734 0.900
0.979 0.409 6.427
3.056 4.860 2.205
```

Results
**SG**: P2_1, No. 4
**Polymorph energy (0 for the lowest one)**: 1.15 eV per formula unit

---

[2]
Here is crystalline TaTe2Br at its relaxed geometry from the Alexandria database. Energies are from PBE-GGA.

```
TaTe2Br
1.0
1.567 0.905 12.834
-1.567 0.905 12.834
0.000 -1.809 12.834
Ta Te Br
1 2 1
Cartesian
0.000 0.000 0.000
0.000 0.000 2.840
0.000 0.000 35.662
0.000 0.000 19.251
```

Results
**SG**: R-3m, No. 166
**Polymorph energy (0 for the lowest one)**: 3.41 eV per formula unit

---

[3]
Here is crystalline Ta2TeBr at its relaxed geometry from the Alexandria database. Energies are from PBE-GGA.

```
Ta2TeBr
1.0
3.072 0.000 0.000
0.000 4.680 0.000
0.000 0.000 5.933
Ta Te Br
2 1 1
Cartesian
0.000 0.000 0.000
1.536 0.000 2.966
0.000 2.340 2.966
1.536 2.340 0.000
```

Results
**SG**: Pmmm, No. 47
**Polymorph energy (0 for the lowest one)**: 3.77 eV per formula unit

---

Respective energy relative to the elements, uncorrected values: -0.08; 0.49; 0.69 eV per atom.